# 1
Density functional theory data (GGA-PBE) for a relaxed Hf2ZrNiAs4Pd3 crystal.

Values from the calculation:
spin magnetization = 0.000 μB per atom
total energy = -76.91 eV/f.u.
SG = Pm (6)
crystal system = monoclinic
density = 9.5 Mg/m³

abc: 6.576 3.885 7.695
angles: 90.00 91.28 90.00
Positions (direct):
As: 0.237 0.000 0.132
As: 0.757 0.000 0.377
As: 0.245 0.500 0.616
As: 0.781 0.500 0.879
Hf: 0.966 0.500 0.188
Hf: 0.459 0.500 0.315
Ni: 0.155 0.000 0.441
Pd: 0.641 0.000 0.062
Pd: 0.861 0.500 0.565
Pd: 0.362 0.500 0.936
Zr: 0.533 0.000 0.687

# 2
Density functional theory data (GGA-PBE) for a relaxed HfZr2Ni2As4Pd2 crystal.

Values from the calculation:
spin magnetization = 0.000 μB per atom
total energy = -76.15 eV/f.u.
SG = Pm (6)
crystal system = monoclinic
density = 8.6 Mg/m³

abc: 6.605 3.886 7.465
angles: 90.00 90.92 90.00
Positions (direct):
As: 0.743 0.000 0.096
As: 0.250 0.000 0.363
As: 0.751 0.500 0.646
As: 0.247 0.500 0.892
Hf: 0.468 0.000 0.696
Ni: 0.374 0.000 0.056
Ni: 0.618 0.500 0.944
Pd: 0.846 0.000 0.444
Pd: 0.147 0.500 0.569
Zr: 0.024 0.500 0.179
Zr: 0.536 0.500 0.312